# 1
First-principles (PBE) data for a relaxed structure of LaC2Cl, as listed in the Alexandria database.

```
LaC2Cl
1.0
0.000 3.171 3.171
3.171 0.000 3.171
3.171 3.171 0.000
La C Cl
1 2 1
direct
0.000 0.000 0.000
0.250 0.250 0.250
0.750 0.750 0.750
0.500 0.500 0.500
```

Values from the calculation:
Its total magnetization is 0.0000 μB per atom. The value obtained for the energy above the most stable polymorph in this dataset is 120.6 kJ/mol of formula units. For the total energy, the calculation gives -18.8 eV per formula unit. As for the volume: 15.94 A^3/atom. The energy relative to the elements, uncorrected comes out at 1594 meV/atom.



# 2
First-principles (PBE) data for a relaxed structure of CaTbMgAl, as listed in the Alexandria database.

```
CaTbMgAl
1.0
0.000 3.746 3.746
3.746 0.000 3.746
3.746 3.746 0.000
Ca Tb Mg Al
1 1 1 1
direct
0.000 0.000 0.000
0.500 0.500 0.500
0.250 0.250 0.250
0.750 0.750 0.750
```

Values from the calculation:
The formation energy comes out at -0.2023 eV per atom. Its total magnetization is 0.0000 μB per atom. The value obtained for the energy above the most stable polymorph in this dataset is 0.0 kJ/mol of formula units. For the total energy, the calculation gives -12.8 eV per formula unit. As for the volume: 26.29 A^3/atom.



# 3
First-principles (PBE) data for a relaxed structure of K2RbTeSe, as listed in the Alexandria database.

```
K2RbTeSe
1.0
6.199 0.000 0.000
0.000 6.199 0.000
0.000 0.000 6.472
K Rb Te Se
2 1 1 1
direct
0.000 0.500 0.000
0.500 0.000 0.000
0.000 0.000 0.500
0.500 0.500 0.500
0.000 0.000 0.000
```

Values from the calculation:
Its total magnetization is 0.2096 μB per atom. For the total energy, the calculation gives -13.5 eV per formula unit. As for the volume: 49.74 A^3/atom. The energy relative to the elements, uncorrected comes out at -736 meV/atom.



# 4
First-principles (PBE) data for a relaxed structure of HoSc2InPd4, as listed in the Alexandria database.

```
HoSc2InPd4
1.0
2.371 1.369 7.726
-2.371 1.369 7.726
0.000 -2.737 7.726
Ho Sc In Pd
1 2 1 4
direct
0.000 0.000 0.000
0.245 0.245 0.245
0.755 0.755 0.755
0.500 0.500 0.500
0.124 0.124 0.124
0.375 0.375 0.375
0.625 0.625 0.625
0.876 0.876 0.876
```

Values from the calculation:
The formation energy comes out at -0.8369 eV per atom. Its total magnetization is 0.0000 μB per atom. For the total energy, the calculation gives -47.4 eV per formula unit. As for the volume: 18.80 A^3/atom.